# 1
A plane-wave DFT calculation with PBE-GGA was carried out for crystalline SrLa3Ag at its relaxed geometry.

Summary:
energy of formation	5.0	eV per formula unit
DFT total energy	-2.86	eV/atom
E above lowest polymorph	78.76	kJ/mol of atoms

```
data_SrLa3Ag
_chemical_formula_sum 'Sr1 La3 Ag1'
_cell_length_a 5.9209
_cell_length_b 5.9209
_cell_length_c 5.9209
_cell_angle_alpha 90.00
_cell_angle_beta 90.00
_cell_angle_gamma 90.00
_symmetry_space_group_name_H-M 'P m -3 m'
_symmetry_Int_Tables_number 221
_symmetry_space_group_name_Hall '-P 4 2 3'
loop_
_atom_site_label
_atom_site_fract_x
_atom_site_fract_y
_atom_site_fract_z
Sr1 0.0000 0.0000 0.0000
La1 0.0000 0.0000 0.5000
Ag1 0.5000 0.5000 0.5000
```

***

# 2
A plane-wave DFT calculation with PBE-GGA was carried out for crystalline HOs3Ru at its relaxed geometry.

Summary:
DFT total energy	-6.27	eV/atom
E above lowest polymorph	263.37	kJ/mol of atoms

```
data_HOs3Ru
_chemical_formula_sum 'H1 Os3 Ru1'
_cell_length_a 4.6792
_cell_length_b 4.6792
_cell_length_c 4.6792
_cell_angle_alpha 90.00
_cell_angle_beta 90.00
_cell_angle_gamma 90.00
_symmetry_space_group_name_H-M 'P m -3 m'
_symmetry_Int_Tables_number 221
_symmetry_space_group_name_Hall '-P 4 2 3'
loop_
_atom_site_label
_atom_site_fract_x
_atom_site_fract_y
_atom_site_fract_z
H1 0.0000 0.0000 0.0000
Os1 0.0000 0.5000 0.5000
Ru1 0.5000 0.5000 0.5000
```

***

# 3
A plane-wave DFT calculation with PBE-GGA was carried out for crystalline AgHg2HPd6 at its relaxed geometry.

Summary:
DFT total energy	-3.84	eV/atom

```
data_AgHg2HPd6
_chemical_formula_sum 'Ag1 Hg2 H1 Pd6'
_cell_length_a 4.9644
_cell_length_b 5.6636
_cell_length_c 6.6030
_cell_angle_alpha 103.04
_cell_angle_beta 98.43
_cell_angle_gamma 110.14
_symmetry_space_group_name_H-M 'P 1'
_symmetry_Int_Tables_number 1
_symmetry_space_group_name_Hall 'P 1'
loop_
_atom_site_label
_atom_site_fract_x
_atom_site_fract_y
_atom_site_fract_z
Ag1 0.0000 0.0000 0.0000
Hg1 0.4250 0.2950 0.7987
Hg2 0.5547 0.7053 0.1968
H1 0.9461 0.5351 0.3507
Pd1 0.1816 0.8920 0.3955
Pd2 0.2014 0.3904 0.4079
Pd3 0.3999 0.7919 0.7993
Pd4 0.6025 0.2137 0.1994
Pd5 0.8032 0.1011 0.6010
Pd6 0.8031 0.6031 0.6006
```

***

# 4
A plane-wave DFT calculation with PBE-GGA was carried out for crystalline Pm2AgP at its relaxed geometry.

Summary:
energy of formation	-2.4	eV per formula unit
DFT total energy	-5.04	eV/atom
E above lowest polymorph	22.02	kJ/mol of atoms

```
data_Pm2AgP
_chemical_formula_sum 'Pm8 Ag4 P4'
_cell_length_a 7.2336
_cell_length_b 7.2336
_cell_length_c 7.2336
_cell_angle_alpha 90.00
_cell_angle_beta 90.00
_cell_angle_gamma 90.00
_symmetry_space_group_name_H-M 'F m -3 m'
_symmetry_Int_Tables_number 225
_symmetry_space_group_name_Hall '-F 4 2 3'
loop_
_atom_site_label
_atom_site_fract_x
_atom_site_fract_y
_atom_site_fract_z
Pm1 0.2500 0.2500 0.2500
Ag1 0.0000 0.0000 0.0000
P1 0.0000 0.0000 0.5000
```

***

# 5
A plane-wave DFT calculation with PBE-GGA was carried out for crystalline MgCd2AgPd at its relaxed geometry.

Summary:
energy of formation	-0.5	eV per formula unit
DFT total energy	-2.38	eV/atom

```
data_MgCd2AgPd
_chemical_formula_sum 'Mg4 Cd8 Ag4 Pd4'
_cell_length_a 5.6002
_cell_length_b 13.5124
_cell_length_c 5.5974
_cell_angle_alpha 90.00
_cell_angle_beta 90.00
_cell_angle_gamma 90.00
_symmetry_space_group_name_H-M 'C m c m'
_symmetry_Int_Tables_number 63
_symmetry_space_group_name_Hall '-C 2c 2'
loop_
_atom_site_label
_atom_site_fract_x
_atom_site_fract_y
_atom_site_fract_z
Mg1 0.0000 0.2487 0.2500
Cd1 0.2485 0.5000 0.0000
Ag1 0.0000 0.1551 0.7500
Pd1 0.0000 0.3497 0.7500
```

***

# 6
A plane-wave DFT calculation with PBE-GGA was carried out for crystalline Ho2HgPt at its relaxed geometry.

Summary:
energy of formation	-3.2	eV per formula unit
DFT total energy	-4.68	eV/atom
E above lowest polymorph	7.13	kJ/mol of atoms

```
data_Ho2HgPt
_chemical_formula_sum 'Ho6 Hg3 Pt3'
_cell_length_a 4.0594
_cell_length_b 4.0594
_cell_length_c 22.3505
_cell_angle_alpha 90.00
_cell_angle_beta 90.00
_cell_angle_gamma 120.00
_symmetry_space_group_name_H-M 'R -3 m'
_symmetry_Int_Tables_number 166
_symmetry_space_group_name_Hall '-R 3 2"'
loop_
_atom_site_label
_atom_site_fract_x
_atom_site_fract_y
_atom_site_fract_z
Ho1 0.0000 0.0000 0.2359
Hg1 0.0000 0.0000 0.0000
Pt1 0.0000 0.0000 0.5000
```

***

# 7
A plane-wave DFT calculation with PBE-GGA was carried out for crystalline SrBeCdO3 at its relaxed geometry.

Summary:
energy relative to the elements, uncorrected	-2.094	eV per atom
DFT total energy	-5.63	eV/atom

```
data_SrBeCdO3
_chemical_formula_sum 'Sr2 Be2 Cd2 O6'
_cell_length_a 5.4643
_cell_length_b 5.6201
_cell_length_c 7.2735
_cell_angle_alpha 76.42
_cell_angle_beta 77.57
_cell_angle_gamma 62.09
_symmetry_space_group_name_H-M 'P -1'
_symmetry_Int_Tables_number 2
_symmetry_space_group_name_Hall '-P 1'
loop_
_atom_site_label
_atom_site_fract_x
_atom_site_fract_y
_atom_site_fract_z
Sr1 0.1105 0.1886 0.1216
Be1 0.3916 0.5269 0.2219
Cd1 0.2768 0.2222 0.6272
O1 0.0965 0.7567 0.1837
O2 0.3563 0.4018 0.8369
O3 0.4104 0.2362 0.3222
```

***

# 8
A plane-wave DFT calculation with PBE-GGA was carried out for crystalline GaCu2Au3 at its relaxed geometry.

Summary:
energy of formation	-0.1	eV per formula unit
DFT total energy	-3.52	eV/atom
E above lowest polymorph	6.08	kJ/mol of atoms

```
data_GaCu2Au3
_chemical_formula_sum 'Ga4 Cu8 Au12'
_cell_length_a 13.7755
_cell_length_b 2.8794
_cell_length_c 11.0206
_cell_angle_alpha 90.00
_cell_angle_beta 116.34
_cell_angle_gamma 90.00
_symmetry_space_group_name_H-M 'C 1 2/m 1'
_symmetry_Int_Tables_number 12
_symmetry_space_group_name_Hall '-C 2y'
loop_
_atom_site_label
_atom_site_fract_x
_atom_site_fract_y
_atom_site_fract_z
Ga1 0.0624 0.0000 0.1427
Cu1 0.1478 0.0000 0.9598
Cu2 0.1805 0.5000 0.3864
Au1 0.0407 0.5000 0.7283
Au2 0.1098 0.0000 0.5331
Au3 0.2430 0.5000 0.1878
```

***

# 9
A plane-wave DFT calculation with PBE-GGA was carried out for crystalline ZrIn5 at its relaxed geometry.

Summary:
energy of formation	-0.3	eV per formula unit
DFT total energy	-3.76	eV/atom
E above lowest polymorph	0.00	kJ/mol of atoms

```
data_ZrIn5
_chemical_formula_sum 'Zr2 In10'
_cell_length_a 11.8152
_cell_length_b 3.3390
_cell_length_c 8.2139
_cell_angle_alpha 90.00
_cell_angle_beta 113.66
_cell_angle_gamma 90.00
_symmetry_space_group_name_H-M 'C 1 m 1'
_symmetry_Int_Tables_number 8
_symmetry_space_group_name_Hall 'C -2y'
loop_
_atom_site_label
_atom_site_fract_x
_atom_site_fract_y
_atom_site_fract_z
Zr1 0.0000 0.0000 0.0000
In1 0.0758 0.5000 0.7303
In2 0.1957 0.5000 0.3023
In3 0.2820 0.0000 0.0367
In4 0.2999 0.0000 0.6605
In5 0.4828 0.5000 0.3801
```

***

# 10
A plane-wave DFT calculation with PBE-GGA was carried out for crystalline CsGeSbPt2 at its relaxed geometry.

Summary:
energy relative to the elements, uncorrected	-0.449	eV per atom
DFT total energy	-4.78	eV/atom

```
data_CsGeSbPt2
_chemical_formula_sum 'Cs2 Ge2 Sb2 Pt4'
_cell_length_a 7.8141
_cell_length_b 4.4436
_cell_length_c 9.1601
_cell_angle_alpha 90.00
_cell_angle_beta 103.13
_cell_angle_gamma 90.00
_symmetry_space_group_name_H-M 'P 1 21/m 1'
_symmetry_Int_Tables_number 11
_symmetry_space_group_name_Hall '-P 2yb'
loop_
_atom_site_label
_atom_site_fract_x
_atom_site_fract_y
_atom_site_fract_z
Cs1 0.0487 0.2500 0.2528
Ge1 0.3064 0.7500 0.5463
Sb1 0.3783 0.7500 0.0767
Pt1 0.4698 0.2500 0.6035
Pt2 0.4767 0.7500 0.8096
```

***

# 11
A plane-wave DFT calculation with PBE-GGA was carried out for crystalline ZrCrCd2 at its relaxed geometry.

Summary:
energy of formation	1.0	eV per formula unit
DFT total energy	-4.75	eV/atom
E above lowest polymorph	12.79	kJ/mol of atoms

```
data_ZrCrCd2
_chemical_formula_sum 'Zr2 Cr2 Cd4'
_cell_length_a 6.0226
_cell_length_b 8.7284
_cell_length_c 3.0891
_cell_angle_alpha 90.00
_cell_angle_beta 90.00
_cell_angle_gamma 90.00
_symmetry_space_group_name_H-M 'C m m m'
_symmetry_Int_Tables_number 65
_symmetry_space_group_name_Hall '-C 2 2'
loop_
_atom_site_label
_atom_site_fract_x
_atom_site_fract_y
_atom_site_fract_z
Zr1 0.0000 0.0000 0.0000
Cr1 0.0000 0.5000 0.0000
Cd1 0.2500 0.2500 0.5000
```

***

# 12
A plane-wave DFT calculation with PBE-GGA was carried out for crystalline Hg2GeO at its relaxed geometry.

Summary:
energy relative to the elements, uncorrected	0.111	eV per atom
DFT total energy	-2.43	eV/atom
E above lowest polymorph	0.00	kJ/mol of atoms

```
data_Hg2GeO
_chemical_formula_sum 'Hg8 Ge4 O4'
_cell_length_a 6.3347
_cell_length_b 6.3347
_cell_length_c 8.9616
_cell_angle_alpha 90.00
_cell_angle_beta 90.00
_cell_angle_gamma 90.00
_symmetry_space_group_name_H-M 'I -4 2 d'
_symmetry_Int_Tables_number 122
_symmetry_space_group_name_Hall 'I -4 2bw'
loop_
_atom_site_label
_atom_site_fract_x
_atom_site_fract_y
_atom_site_fract_z
Hg1 0.2029 0.2500 0.1250
Ge1 0.0000 0.0000 0.5000
O1 0.0000 0.0000 0.0000
```

***

# 13
A plane-wave DFT calculation with PBE-GGA was carried out for crystalline La6HgPt2I3 at its relaxed geometry.

Summary:
energy relative to the elements, uncorrected	-1.034	eV per atom
DFT total energy	-4.92	eV/atom

```
data_La6HgPt2I3
_chemical_formula_sum 'La12 Hg2 Pt4 I6'
_cell_length_a 7.6457
_cell_length_b 13.1464
_cell_length_c 8.5019
_cell_angle_alpha 90.00
_cell_angle_beta 107.43
_cell_angle_gamma 90.00
_symmetry_space_group_name_H-M 'C 1 2/m 1'
_symmetry_Int_Tables_number 12
_symmetry_space_group_name_Hall '-C 2y'
loop_
_atom_site_label
_atom_site_fract_x
_atom_site_fract_y
_atom_site_fract_z
La1 0.2085 0.0000 0.1977
La2 0.2465 0.3213 0.2025
Hg1 0.0000 0.5000 0.0000
Pt1 0.0000 0.1678 0.0000
I1 0.0000 0.0000 0.5000
I2 0.0000 0.3411 0.5000
```

***

# 14
A plane-wave DFT calculation with PBE-GGA was carried out for crystalline TbY6Tm3 at its relaxed geometry.

Summary:
energy of formation	1.2	eV per formula unit
DFT total energy	-5.56	eV/atom
E above lowest polymorph	0.00	kJ/mol of atoms

```
data_TbY6Tm3
_chemical_formula_sum 'Tb4 Y24 Tm12'
_cell_length_a 9.6316
_cell_length_b 20.8289
_cell_length_c 6.3682
_cell_angle_alpha 90.00
_cell_angle_beta 90.00
_cell_angle_gamma 90.00
_symmetry_space_group_name_H-M 'C m c 21'
_symmetry_Int_Tables_number 36
_symmetry_space_group_name_Hall 'C 2c -2'
loop_
_atom_site_label
_atom_site_fract_x
_atom_site_fract_y
_atom_site_fract_z
Tb1 0.0000 0.1613 0.0000
Y1 0.0000 0.0155 0.1985
Y2 0.0000 0.3006 0.2305
Y3 0.1769 0.2812 0.6887
Y4 0.1807 0.4409 0.4444
Tm1 0.0000 0.4179 0.9201
Tm2 0.1685 0.1262 0.5270
```

***

# 15
A plane-wave DFT calculation with PBE-GGA was carried out for crystalline MgAlGa2 at its relaxed geometry.

Summary:
energy of formation	-0.2	eV per formula unit
DFT total energy	-2.89	eV/atom

```
data_MgAlGa2
_chemical_formula_sum 'Mg2 Al2 Ga4'
_cell_length_a 9.2683
_cell_length_b 2.9561
_cell_length_c 5.4768
_cell_angle_alpha 90.00
_cell_angle_beta 100.23
_cell_angle_gamma 90.00
_symmetry_space_group_name_H-M 'C 1 2/m 1'
_symmetry_Int_Tables_number 12
_symmetry_space_group_name_Hall '-C 2y'
loop_
_atom_site_label
_atom_site_fract_x
_atom_site_fract_y
_atom_site_fract_z
Mg1 0.0000 0.0000 0.0000
Al1 0.0000 0.5000 0.5000
Ga1 0.2486 0.0000 0.7376
```

***

# 16
A plane-wave DFT calculation with PBE-GGA was carried out for crystalline ScZnCdAu2 at its relaxed geometry.

Summary:
energy of formation	-2.0	eV per formula unit
DFT total energy	-3.41	eV/atom

```
data_ScZnCdAu2
_chemical_formula_sum 'Sc1 Zn1 Cd1 Au2'
_cell_length_a 4.6716
_cell_length_b 4.6716
_cell_length_c 5.4520
_cell_angle_alpha 90.00
_cell_angle_beta 90.00
_cell_angle_gamma 120.00
_symmetry_space_group_name_H-M 'P 3 m 1'
_symmetry_Int_Tables_number 156
_symmetry_space_group_name_Hall 'P 3 -2"'
loop_
_atom_site_label
_atom_site_fract_x
_atom_site_fract_y
_atom_site_fract_z
Sc1 0.0000 0.0000 0.0000
Zn1 0.3333 0.6667 0.6673
Cd1 0.6667 0.3333 0.3831
Au1 0.3333 0.6667 0.1766
Au2 0.6667 0.3333 0.8715
```

***

# 17
A plane-wave DFT calculation with PBE-GGA was carried out for crystalline Br3Cl at its relaxed geometry.

Summary:
energy relative to the elements, uncorrected	0.654	eV per atom
DFT total energy	-1.06	eV/atom

```
data_Br3Cl
_chemical_formula_sum 'Br6 Cl2'
_cell_length_a 5.9027
_cell_length_b 5.9027
_cell_length_c 5.9027
_cell_angle_alpha 90.00
_cell_angle_beta 90.00
_cell_angle_gamma 90.00
_symmetry_space_group_name_H-M 'P m -3 n'
_symmetry_Int_Tables_number 223
_symmetry_space_group_name_Hall '-P 4n 2 3'
loop_
_atom_site_label
_atom_site_fract_x
_atom_site_fract_y
_atom_site_fract_z
Br1 0.0000 0.2500 0.5000
Cl1 0.0000 0.0000 0.0000
```

***

# 18
A plane-wave DFT calculation with PBE-GGA was carried out for crystalline Zr3Cu at its relaxed geometry.

Summary:
energy of formation	0.4	eV per formula unit
DFT total energy	-7.35	eV/atom

```
data_Zr3Cu
_chemical_formula_sum 'Zr3 Cu1'
_cell_length_a 3.2067
_cell_length_b 3.2067
_cell_length_c 9.4246
_cell_angle_alpha 90.00
_cell_angle_beta 90.00
_cell_angle_gamma 120.00
_symmetry_space_group_name_H-M 'P -6 m 2'
_symmetry_Int_Tables_number 187
_symmetry_space_group_name_Hall 'P -6 2'
loop_
_atom_site_label
_atom_site_fract_x
_atom_site_fract_y
_atom_site_fract_z
Zr1 0.0000 0.0000 0.0000
Zr2 0.3333 0.6667 0.2723
Cu1 0.0000 0.0000 0.5000
```

***

# 19
A plane-wave DFT calculation with PBE-GGA was carried out for crystalline Ba3AgAs at its relaxed geometry.

Summary:
energy of formation	-1.9	eV per formula unit
DFT total energy	-3.04	eV/atom
E above lowest polymorph	0.00	kJ/mol of atoms

```
data_Ba3AgAs
_chemical_formula_sum 'Ba3 Ag1 As1'
_cell_length_a 6.3472
_cell_length_b 6.3472
_cell_length_c 6.3472
_cell_angle_alpha 90.00
_cell_angle_beta 90.00
_cell_angle_gamma 90.00
_symmetry_space_group_name_H-M 'P m -3 m'
_symmetry_Int_Tables_number 221
_symmetry_space_group_name_Hall '-P 4 2 3'
loop_
_atom_site_label
_atom_site_fract_x
_atom_site_fract_y
_atom_site_fract_z
Ba1 0.0000 0.0000 0.5000
Ag1 0.5000 0.5000 0.5000
As1 0.0000 0.0000 0.0000
```

***

# 20
A plane-wave DFT calculation with PBE-GGA was carried out for crystalline La6Pm3Nd at its relaxed geometry.

Summary:
energy of formation	1.9	eV per formula unit
DFT total energy	-4.67	eV/atom
E above lowest polymorph	7.37	kJ/mol of atoms

```
data_La6Pm3Nd
_chemical_formula_sum 'La18 Pm9 Nd3'
_cell_length_a 10.1707
_cell_length_b 10.1707
_cell_length_c 12.2606
_cell_angle_alpha 90.00
_cell_angle_beta 90.00
_cell_angle_gamma 120.00
_symmetry_space_group_name_H-M 'R 3'
_symmetry_Int_Tables_number 146
_symmetry_space_group_name_Hall 'R 3'
loop_
_atom_site_label
_atom_site_fract_x
_atom_site_fract_y
_atom_site_fract_z
La1 0.0114 0.3402 0.0000
La2 0.0119 0.6714 0.5001
Pm1 0.0000 0.0000 0.0802
Pm2 0.0000 0.0000 0.5816
Pm3 0.0000 0.0000 0.8277
Nd1 0.0000 0.0000 0.3277
```